(1)
Below is Ba2LiCo2 after structural relaxation, with properties calculated at the PBE level.

Energy above the most stable polymorph in this dataset ... 0.0000 eV per atom
Formation energy from the elements ... 0.416 eV/atom
Final energy ... -3.5783 eV per atom
Theoretical density ... 4.4 g cm⁻³
Density of states at the Fermi level ... 0.750 states/eV per atom
Total magnetization ... 0.5846 μB/atom

abc: 8.1123 8.1123 4.5475
angles: 90.00 90.00 90.00
Closest atoms and distances in Å follow each position.
Fractional positions:
1 Ba 0.1809 0.3191 0.0000  6 Co 3.26-3.44
2 Ba 0.3191 0.8191 0.0000  6 Co 3.26-3.44
3 Ba 0.6809 0.1809 0.0000  6 Co 3.26-3.44
4 Ba 0.8191 0.6809 0.0000  6 Co 3.26-3.44
5 Li 0.0000 0.0000 0.5000  4 Co 3.38, 8 Ba 3.74
6 Li 0.5000 0.5000 0.5000  4 Co 3.38, 8 Ba 3.74
7 Co 0.0938 0.5938 0.5000  1 Co 2.15
8 Co 0.4062 0.0938 0.5000  1 Co 2.15
9 Co 0.5938 0.9062 0.5000  1 Co 2.15
10 Co 0.9062 0.4062 0.5000  1 Co 2.15

***

(2)
Below is Li2CaNd2Pb2 after structural relaxation, with properties calculated at the PBE level.

Formation energy from the elements ... -0.366 eV/atom
Final energy ... -3.6207 eV per atom
Theoretical density ... 6.3 g cm⁻³
Density of states at the Fermi level ... 0.504 states/eV per atom
Total magnetization ... 0.0001 μB/atom

abc: 9.8705 9.8705 9.8705
angles: 28.85 28.85 28.85
Closest atoms and distances in Å follow each position.
Fractional positions:
1 Li 0.0994 0.0994 0.0994  3 Pb 2.84
2 Li 0.9006 0.9006 0.9006  3 Pb 2.84
3 Ca 0.5000 0.5000 0.5000  6 Li 3.42, 6 Pb 3.51, 2 Nd 3.64
4 Nd 0.3715 0.3715 0.3715  3 Pb 3.25, 3 Li 3.33, 3 Nd 3.57
5 Nd 0.6285 0.6285 0.6285  3 Pb 3.25, 3 Li 3.33, 3 Nd 3.57
6 Pb 0.2392 0.2392 0.2392  3 Li 2.84
7 Pb 0.7608 0.7608 0.7608  3 Li 2.84

***

(3)
Below is CeZn2ReN4 after structural relaxation, with properties calculated at the PBE level.

Final energy ... -7.0617 eV per atom
Theoretical density ... 7.8 g cm⁻³
Density of states at the Fermi level ... 0.854 states/eV per atom
Total magnetization ... 0.1092 μB/atom
E_form (uncorrected) ... -283 meV/atom

abc: 5.2584 5.2584 5.2584
angles: 118.03 107.89 102.87
Closest atoms and distances in Å follow each position.
Fractional positions:
1 Ce 0.0000 0.0000 0.0000  8 N 2.61-2.88
2 Zn 0.2000 0.7000 0.5000  2 N 2.08
3 Zn 0.8000 0.3000 0.5000  2 N 2.08
4 Re 0.5000 0.5000 0.0000  4 N 1.85
5 N 0.1666 0.5276 0.0385  1 Re 1.85
6 N 0.4891 0.1281 0.9615  1 Re 1.85
7 N 0.5109 0.4724 0.6390  1 Re 1.85
8 N 0.8334 0.8719 0.3610  1 Re 1.85

***

(4)
Below is ErPd6Au5 after structural relaxation, with properties calculated at the PBE level.

Energy above the most stable polymorph in this dataset ... 0.0041 eV per atom
Formation energy from the elements ... -0.370 eV/atom
Final energy ... -4.7127 eV per atom
Theoretical density ... 14.5 g cm⁻³
Density of states at the Fermi level ... 0.442 states/eV per atom
Total magnetization ... 0.0000 μB/atom

abc: 7.6563 7.6563 7.6563
angles: 147.83 119.22 70.45
Closest atoms and distances in Å follow each position.
Fractional positions:
1 Er 0.0000 0.0000 0.0000  8 Pd 2.86-2.90, 4 Au 2.96
2 Pd 0.0847 0.8326 0.2521  7 Au 2.84-2.88, 1 Er 2.86, 4 Pd 2.96-2.98
3 Pd 0.2550 0.5000 0.7550  6 Au 2.83-2.86, 2 Er 2.90, 4 Pd 2.98
4 Pd 0.4195 0.1674 0.2521  7 Au 2.84-2.88, 1 Er 2.86, 4 Pd 2.96-2.98
5 Pd 0.5805 0.8326 0.7479  7 Au 2.84-2.88, 1 Er 2.86, 4 Pd 2.96-2.98
6 Pd 0.7450 0.5000 0.2450  6 Au 2.83-2.86, 2 Er 2.90, 4 Pd 2.98
7 Pd 0.9153 0.1674 0.7479  7 Au 2.84-2.88, 1 Er 2.86, 4 Pd 2.96-2.98
8 Au 0.1653 0.6653 0.5000  8 Pd 2.84-2.88, 2 Er 2.96, 2 Au 2.97
9 Au 0.3317 0.3317 0.0000  8 Pd 2.83-2.86, 4 Au 2.97-2.99
10 Au 0.5000 0.0000 0.5000  8 Pd 2.84-2.85, 4 Au 2.99
11 Au 0.6683 0.6683 0.0000  8 Pd 2.83-2.86, 4 Au 2.97-2.99
12 Au 0.8347 0.3347 0.5000  8 Pd 2.84-2.88, 2 Er 2.96, 2 Au 2.97

***

(5)
Below is LiCd2Pb after structural relaxation, with properties calculated at the PBE level.

Formation energy from the elements ... -0.043 eV/atom
Final energy ... -1.9057 eV per atom
Theoretical density ... 7.6 g cm⁻³
Density of states at the Fermi level ... 0.366 states/eV per atom
Total magnetization ... 0.0000 μB/atom

abc: 10.5549 10.5549 10.5549
angles: 17.78 17.78 17.78
Closest atoms and distances in Å follow each position.
Fractional positions:
1 Li 0.0000 0.0000 0.0000  3 Cd 2.94, 3 Pb 3.14, 6 Li 3.26
2 Cd 0.4932 0.4932 0.4932  9 Cd 3.26-3.31, 3 Pb 3.45
3 Cd 0.7390 0.7390 0.7390  3 Li 2.94, 6 Cd 3.26
4 Pb 0.2528 0.2528 0.2528  3 Li 3.14, 6 Pb 3.26, 3 Cd 3.45

***

(6)
Below is Cs2IrPbF6 after structural relaxation, with properties calculated at the PBE level.

Final energy ... -4.5454 eV per atom
Theoretical density ... 6.4 g cm⁻³
Total magnetization ... 0.0809 μB/atom
E_form (uncorrected) ... -1995 meV/atom

abc: 6.7064 6.7064 6.7064
angles: 122.74 122.74 85.31
Closest atoms and distances in Å follow each position.
Fractional positions:
1 Cs 0.2500 0.7500 0.5000  12 F 3.21-3.36
2 Cs 0.7500 0.2500 0.5000  12 F 3.21-3.36
3 Ir 0.0000 0.0000 0.0000  4 F 2.09
4 Pb 0.5000 0.5000 0.0000  6 F 2.40-2.46
5 F 0.2296 0.2296 0.4593  1 Ir 2.09
6 F 0.2296 0.7704 0.0000  1 Ir 2.09
7 F 0.2564 0.2564 0.0000  1 Pb 2.40, 1 Ir 2.53
8 F 0.7436 0.7436 0.0000  1 Pb 2.40, 1 Ir 2.53
9 F 0.7704 0.2296 0.0000  1 Ir 2.09
10 F 0.7704 0.7704 0.5407  1 Ir 2.09

***

(7)
Below is ScCuAg2 after structural relaxation, with properties calculated at the PBE level.

Energy above the most stable polymorph in this dataset ... 0.1935 eV per atom
Formation energy from the elements ... 0.047 eV/atom
Final energy ... -3.9860 eV per atom
Theoretical density ... 7.6 g cm⁻³
Density of states at the Fermi level ... 0.685 states/eV per atom
Total magnetization ... 0.0000 μB/atom

abc: 4.9471 4.9471 3.0233
angles: 90.00 90.00 106.78
Closest atoms and distances in Å follow each position.
Fractional positions:
1 Sc 0.0000 0.0000 0.0000  8 Ag 2.90, 2 Cu 2.95, 2 Sc 3.02
2 Cu 0.5000 0.5000 0.0000  8 Ag 2.90, 2 Sc 2.95, 2 Cu 3.02
3 Ag 0.0000 0.5000 0.5000  4 Cu 2.90, 4 Sc 2.90, 4 Ag 2.95-3.02
4 Ag 0.5000 0.0000 0.5000  4 Cu 2.90, 4 Sc 2.90, 4 Ag 2.95-3.02

***

(8)
Below is MgCoAg after structural relaxation, with properties calculated at the PBE level.

Energy above the most stable polymorph in this dataset ... 0.0465 eV per atom
Formation energy from the elements ... 0.235 eV/atom
Final energy ... -3.6155 eV per atom
Theoretical density ... 6.7 g cm⁻³
Density of states at the Fermi level ... 1.368 states/eV per atom
Total magnetization ... 0.4393 μB/atom

abc: 4.4438 4.4438 2.7593
angles: 90.00 90.00 120.00
Closest atoms and distances in Å follow each position.
Fractional positions:
1 Mg 0.0000 0.0000 0.0000  3 Co 2.72, 2 Mg 2.76, 3 Ag 2.76
2 Co 0.6667 0.3333 0.6752  3 Ag 2.70, 3 Mg 2.72, 2 Co 2.76
3 Ag 0.3333 0.6667 0.3713  3 Co 2.70, 2 Ag 2.76, 3 Mg 2.76

***

(9)
Below is LaNi4As2 after structural relaxation, with properties calculated at the PBE level.

Energy above the most stable polymorph in this dataset ... 0.1185 eV per atom
Formation energy from the elements ... -0.467 eV/atom
Final energy ... -5.8027 eV per atom
Theoretical density ... 7.9 g cm⁻³
Density of states at the Fermi level ... 0.517 states/eV per atom
Total magnetization ... 0.0000 μB/atom

abc: 16.7507 4.0876 6.4689
angles: 90.00 90.00 90.00
Closest atoms and distances in Å follow each position.
Fractional positions:
1 La 0.1405 0.2500 0.0201  6 Ni 2.72-3.02
2 La 0.3595 0.7500 0.5201  6 Ni 2.72-3.02
3 La 0.6405 0.2500 0.4799  6 Ni 2.72-3.02
4 La 0.8595 0.7500 0.9799  6 Ni 2.72-3.02
5 Ni 0.0130 0.7500 0.1184  3 As 2.39-2.49, 3 Ni 2.58-2.59
6 Ni 0.0613 0.2500 0.5323  4 As 2.40-2.48, 1 Ni 2.58
7 Ni 0.1757 0.7500 0.6602  3 As 2.39-2.44, 1 Ni 2.59
8 Ni 0.2253 0.7500 0.2809  3 As 2.33-2.40, 1 Ni 2.59
9 Ni 0.2747 0.2500 0.7809  3 As 2.33-2.40, 1 Ni 2.59
10 Ni 0.3243 0.2500 0.1602  3 As 2.39-2.44, 1 Ni 2.59
11 Ni 0.4387 0.7500 0.0323  4 As 2.40-2.48, 1 Ni 2.58
12 Ni 0.4870 0.2500 0.6184  3 As 2.39-2.49, 3 Ni 2.58-2.59
13 Ni 0.5130 0.7500 0.3816  3 As 2.39-2.49, 3 Ni 2.58-2.59
14 Ni 0.5613 0.2500 0.9677  4 As 2.40-2.48, 1 Ni 2.58
15 Ni 0.6757 0.7500 0.8398  3 As 2.39-2.44, 1 Ni 2.59
16 Ni 0.7253 0.7500 0.2191  3 As 2.33-2.40, 1 Ni 2.59
17 Ni 0.7747 0.2500 0.7191  3 As 2.33-2.40, 1 Ni 2.59
18 Ni 0.8243 0.2500 0.3398  3 As 2.39-2.44, 1 Ni 2.59
19 Ni 0.9387 0.7500 0.4677  4 As 2.40-2.48, 1 Ni 2.58
20 Ni 0.9870 0.2500 0.8816  3 As 2.39-2.49, 3 Ni 2.58-2.59
21 As 0.0366 0.7500 0.7390  7 Ni 2.39-2.49
22 As 0.2055 0.2500 0.4685  6 Ni 2.33-2.45
23 As 0.2945 0.7500 0.9685  6 Ni 2.33-2.45
24 As 0.4634 0.2500 0.2390  7 Ni 2.39-2.49
25 As 0.5366 0.7500 0.7610  7 Ni 2.39-2.49
26 As 0.7055 0.2500 0.0315  6 Ni 2.33-2.45
27 As 0.7945 0.7500 0.5315  6 Ni 2.33-2.45
28 As 0.9634 0.2500 0.2610  7 Ni 2.39-2.49

***

(10)
Below is YBi2Pd7Au2 after structural relaxation, with properties calculated at the PBE level.

Formation energy from the elements ... -0.317 eV/atom
Final energy ... -5.0781 eV per atom
Theoretical density ... 11.6 g cm⁻³
Density of states at the Fermi level ... 0.458 states/eV per atom
Total magnetization ... 0.0000 μB/atom

abc: 3.9289 3.9289 15.4438
angles: 96.97 96.97 89.98
Closest atoms and distances in Å follow each position.
Fractional positions:
1 Y 0.0000 0.0000 0.0000  12 Pd 2.78-2.92
2 Bi 0.1759 0.1759 0.3668  1 Pd 2.70
3 Bi 0.8241 0.8241 0.6332  1 Pd 2.70
4 Pd 0.0672 0.5673 0.1421  6 Pd 2.78-2.92, 2 Au 2.79, 2 Y 2.92
5 Pd 0.2731 0.2731 0.5442  1 Bi 2.70, 1 Au 2.79
6 Pd 0.4327 0.9328 0.8579  6 Pd 2.78-2.92, 2 Au 2.79, 2 Y 2.92
7 Pd 0.5000 0.5000 0.0000  4 Y 2.78, 8 Pd 2.92
8 Pd 0.5673 0.0672 0.1421  6 Pd 2.78-2.92, 2 Au 2.79, 2 Y 2.92
9 Pd 0.7269 0.7269 0.4558  1 Bi 2.70, 1 Au 2.79
10 Pd 0.9328 0.4327 0.8579  6 Pd 2.78-2.92, 2 Au 2.79, 2 Y 2.92
11 Au 0.3709 0.3709 0.7276  5 Pd 2.79, 1 Bi 3.12
12 Au 0.6291 0.6291 0.2724  5 Pd 2.79, 1 Bi 3.12

***

(11)
Below is Mg7Tl3Hg after structural relaxation, with properties calculated at the PBE level.

Formation energy from the elements ... 0.008 eV/atom
Final energy ... -1.6791 eV per atom
Theoretical density ... 5.9 g cm⁻³
Density of states at the Fermi level ... 0.456 states/eV per atom
Total magnetization ... 0.0000 μB/atom

abc: 7.6157 7.6157 5.5543
angles: 111.37 111.37 91.42
Closest atoms and distances in Å follow each position.
Fractional positions:
1 Mg 0.0000 0.0000 0.0000  2 Hg 2.78, 2 Tl 2.92
2 Mg 0.0958 0.5615 0.3293  4 Tl 2.98-3.19, 4 Mg 3.11-3.18, 1 Hg 3.30
3 Mg 0.3123 0.3123 0.8210  1 Hg 2.83, 2 Tl 3.05
4 Mg 0.4385 0.9042 0.6707  4 Tl 2.98-3.19, 4 Mg 3.11-3.18, 1 Hg 3.30
5 Mg 0.5615 0.0958 0.3293  4 Tl 2.98-3.19, 4 Mg 3.11-3.18, 1 Hg 3.30
6 Mg 0.6877 0.6877 0.1790  1 Hg 2.83, 2 Tl 3.05
7 Mg 0.9042 0.4385 0.6707  4 Tl 2.98-3.19, 4 Mg 3.11-3.18, 1 Hg 3.30
8 Tl 0.2674 0.7326 0.0000  9 Mg 2.92-3.19
9 Tl 0.5000 0.5000 0.5000  8 Mg 2.98-3.30
10 Tl 0.7326 0.2674 0.0000  9 Mg 2.92-3.19
11 Hg 0.0000 0.0000 0.5000  4 Mg 2.78-2.83